Entry 1:
The following is a PBE calculation of a relaxed AgBiN3 crystal, from Alexandria via LeMat-Bulk.

Cell: 4.3430 4.3430 4.3430 Å, 90.00 90.00 90.00°
Last column: magnetic moment on the atom in μB.
Element x y z (fractional)
Bi (0.0000, 0.0000, 0.0000)  -0.08
N (0.0000, 0.0000, 0.5000)  0.63
N (0.5000, 0.0000, 0.0000)  0.79
N (0.0000, 0.5000, 0.0000)  0.84
Ag (0.5000, 0.5000, 0.5000)  0.11

Computed properties:
ΔE_f (raw) (eV/f.u.): 10.718
V (Å³ per cell): 81.9
DFT total energy (eV for the cell shown): -21.0


Entry 2:
The following is a PBE calculation of a relaxed Rb2USb2S6 crystal, from Alexandria via LeMat-Bulk.

Cell: 7.0255 7.0255 8.2091 Å, 98.51 98.51 119.79°
Last column: magnetic moment on the atom in μB.
Element x y z (fractional)
Sb (0.6691, 0.3309, 0.5000)  0.01
Sb (0.3309, 0.6691, 0.5000)  0.01
Rb (0.8301, 0.1699, 0.0000)  0.00
Rb (0.1699, 0.8301, 0.0000)  0.00
S (0.0618, 0.3910, 0.6866)  -0.02
S (0.7438, 0.7438, 0.6862)  -0.03
S (0.9382, 0.6090, 0.3134)  -0.02
S (0.6090, 0.9382, 0.3134)  -0.02
S (0.2562, 0.2562, 0.3138)  -0.03
S (0.3910, 0.0618, 0.6866)  -0.02
U (0.0000, 0.0000, 0.5000)  2.03

Computed properties:
ΔE_f (raw) (eV/f.u.): -9.814
V (Å³ per cell): 336.0
DFT total energy (eV for the cell shown): -56.0


Entry 3:
The following is a PBE calculation of a relaxed BaMgP2 crystal, from Alexandria via LeMat-Bulk.

Cell: 5.2983 5.2983 5.2983 Å, 128.31 104.65 97.30°
Element x y z (fractional)
P (0.9147, 0.9147, 0.0000)
P (0.5853, 0.5853, 0.0000)
Ba (0.2500, 0.7500, 0.5000)
Mg (0.7500, 0.2500, 0.5000)

Computed properties:
Formation energy from the elements (meV per atom): -564.2
V (Å³ per cell): 104.7
DFT total energy (eV for the cell shown): -16.6


Entry 4:
The following is a PBE calculation of a relaxed ScBeCuW2 crystal, from Alexandria via LeMat-Bulk.

Cell: 4.3248 4.1507 4.3248 Å, 90.00 90.00 90.00°
Element x y z (fractional)
Be (0.0000, 0.0000, 0.0000)
Sc (0.5000, 0.5000, 0.5000)
W (0.0000, 0.0000, 0.5000)
W (0.5000, 0.0000, 0.0000)
Cu (0.0000, 0.5000, 0.0000)

Computed properties:
Formation energy from the elements (meV per atom): 645.8
V (Å³ per cell): 77.6
DFT total energy (eV for the cell shown): -36.8


Entry 5:
The following is a PBE calculation of a relaxed CsNa2LiSb crystal, from Alexandria via LeMat-Bulk.

Cell: 6.1674 6.1674 5.4766 Å, 90.00 90.00 90.00°
Element x y z (fractional)
Li (0.0000, 0.0000, 0.5000)
Na (0.0000, 0.5000, 0.0000)
Na (0.5000, 0.0000, 0.0000)
Cs (0.5000, 0.5000, 0.5000)
Sb (0.0000, 0.0000, 0.0000)

Computed properties:
ΔE_f (raw) (eV/f.u.): -1.243
V (Å³ per cell): 208.3
DFT total energy (eV for the cell shown): -10.8


Entry 6:
The following is a PBE calculation of a relaxed La4ZnRu crystal, from Alexandria via LeMat-Bulk.

Cell: 6.2402 6.2402 6.2402 Å, 60.00 60.00 60.00°
Last column: magnetic moment on the atom in μB.
Element x y z (fractional)
Ru (0.7500, 0.7500, 0.7500)  0.81
La (0.8722, 0.3759, 0.3759)  0.09
La (0.3759, 0.3759, 0.8722)  0.09
La (0.3759, 0.3759, 0.3759)  0.09
La (0.3759, 0.8722, 0.3759)  0.09
Zn (0.0000, 0.0000, 0.0000)  0.02

Computed properties:
Formation energy from the elements (meV per atom): 723.1
V (Å³ per cell): 171.8
DFT total energy (eV for the cell shown): -25.9
ΔE to the lowest computed polymorph (kJ/mol of atoms): 95.1